Density functional theory data (PBE) for an optimized crystal structure of MnAlTl2Se4.

Cell: 7.419 7.419 8.146 Å, 90.00 90.00 90.00°
Space group I-4 (No. 82)
Symmetry-distinct sites (fractional):
Mn 0.000 0.000 0.000 x2
Al 0.000 0.500 0.250 x2
Tl 0.000 0.000 0.500 x2
Tl 0.000 0.500 0.750 x2
Se 0.158 0.263 0.106 x8

Computed properties:
DFT total energy ... -4.488 eV/atom
Calculated density ... 5.974 g/cm3
M_tot ... 4.000 μB per formula unit

***

Density functional theory data (PBE) for an optimized crystal structure of CaHoO4.

Cell: 6.755 3.751 6.631 Å, 90.00 95.59 90.00°
Space group Cm (No. 8)
Symmetry-distinct sites (fractional):
Ca 0.000 0.000 0.000 x2
Ho 0.133 0.500 0.587 x2
O 0.165 0.500 0.914 x2
O 0.229 0.000 0.339 x2
O 0.406 0.000 0.256 x2
O 0.463 0.500 0.623 x2

Computed properties:
DFT total energy ... -6.816 eV/atom
Calculated density ... 5.343 g/cm3
Fermi-level density of states ... 2.08 states/eV/f.u.
M_tot ... 1.015 μB per formula unit

***

Density functional theory data (PBE) for an optimized crystal structure of Mg2Cd6In.

Cell: 14.286 11.249 5.301 Å, 90.00 103.05 90.00°
Space group C2/c (No. 15)
Symmetry-distinct sites (fractional):
Mg 0.166 0.124 0.086 x8
Cd 0.055 0.119 0.532 x8
Cd 0.115 0.372 0.807 x8
Cd 0.227 0.375 0.359 x8
In 0.000 0.370 0.250 x4

Computed properties:
DFT total energy ... -1.288 eV/atom
Calculated density ... 6.707 g/cm3
Fermi-level density of states ... 3.19 states/eV/f.u.
M_tot ... 0.000 μB per formula unit
E above lowest polymorph ... 5 meV/atom

***

Density functional theory data (PBE) for an optimized crystal structure of Nb2VHgMo.

Cell: 4.990 4.990 4.920 Å, 90.00 90.00 90.00°
Space group P4/mmm (No. 123)
Symmetry-distinct sites (fractional):
Nb 0.000 0.500 0.000 x2
V 0.000 0.000 0.500 x1
Hg 0.500 0.500 0.000 x1
Mo 0.500 0.500 0.500 x1

Computed properties:
DFT total energy ... -5.601 eV/atom
Calculated density ... 7.229 g/cm3
Fermi-level density of states ... 12.12 states/eV/f.u.
M_tot ... 0.854 μB per formula unit